# 1
Zr2TlAs: optimized geometry, PBE-GGA.

Output
The energy above the most stable polymorph in this dataset comes out at 0.910 eV per atom. The formation energy is 0.3281 eV per atom. The density of states at the Fermi level is 0.251 states/eV/atom. The density is 6.20 g cm⁻³. As for the total magnetization: 0.00 Bohr magnetons per cell.

a = 5.992 Å, b = 5.992 Å, c = 8.090 Å
α = 68.26°, β = 68.26°, γ = 90.00°
Atoms (fractional coordinates):
Tl1 0.750 0.250 0.500
Zr1 0.591 0.125 0.250
Zr2 0.875 0.841 0.750
Zr3 0.159 0.625 0.250
Zr4 0.375 0.409 0.750
As1 0.250 0.750 0.500
Tl2 0.000 0.000 0.000
As2 0.500 0.500 0.000


# 2
CeAl9Cu2: optimized geometry, PBE-GGA.

Output
The formation energy is -0.1951 eV per atom. The density of states at the Fermi level is 0.746 states/eV/atom. The density is 4.19 g cm⁻³. As for the total magnetization: 1.34 Bohr magnetons per cell.

a = 7.084 Å, b = 8.344 Å, c = 8.344 Å
α = 79.62°, β = 64.88°, γ = 64.88°
Atoms (fractional coordinates):
Al1 0.743 0.824 0.578
Cu1 0.875 0.250 0.750
Al2 0.000 0.000 0.000
Ce1 0.250 0.500 0.500
Al3 0.144 0.176 0.422
Al4 0.144 0.422 0.176
Al5 0.743 0.578 0.824
Al6 0.434 0.824 0.422
Al7 0.680 0.176 0.578
Al8 0.070 0.324 0.922
Al9 0.007 0.676 0.922
Al10 0.680 0.578 0.176
Al11 0.316 0.676 0.078
Al12 0.606 0.324 0.078
Al13 0.070 0.922 0.324
Al14 0.316 0.078 0.676
Al15 0.434 0.422 0.824
Cu2 0.875 0.250 0.250
Al16 0.007 0.922 0.676
Ce2 0.500 0.000 0.000
Cu3 0.375 0.750 0.750
Al17 0.750 0.500 0.500
Al18 0.606 0.078 0.324
Cu4 0.875 0.750 0.250


# 3
AlReSb2: optimized geometry, PBE-GGA.

Output
The density of states at the Fermi level is 0.249 states/eV/atom. The density is 8.06 g cm⁻³. For the uncorrected formation energy, the calculation gives 223 meV/atom. As for the total magnetization: 0.00 Bohr magnetons per cell.

a = 4.775 Å, b = 4.775 Å, c = 6.554 Å
α = 75.66°, β = 75.66°, γ = 40.73°
Atoms (fractional coordinates):
Sb1 0.242 0.242 0.324
Al1 0.471 0.471 0.600
Re1 0.746 0.746 0.647
Sb2 0.042 0.042 0.928


# 4
LiMg2TaHg: optimized geometry, PBE-GGA.

Output
The formation energy is 0.9522 eV per atom. The density of states at the Fermi level is 0.444 states/eV/atom. The density is 6.12 g cm⁻³. As for the total magnetization: 1.98 Bohr magnetons per cell.

a = 5.067 Å, b = 4.615 Å, c = 5.067 Å
α = 90.00°, β = 90.00°, γ = 90.00°
Atoms (fractional coordinates):
Mg1 0.000 0.000 0.500
Mg2 0.500 0.000 0.000
Li1 0.000 0.500 0.000
Hg1 0.000 0.000 0.000
Ta1 0.500 0.500 0.500


# 5
Ho3ScO: optimized geometry, PBE-GGA.

Output
The density of states at the Fermi level is 1.169 states/eV/atom. The density is 8.16 g cm⁻³. For the uncorrected formation energy, the calculation gives -1133 meV/atom. As for the total magnetization: 0.00 Bohr magnetons per cell.

a = 4.835 Å, b = 4.835 Å, c = 4.835 Å
α = 90.00°, β = 90.00°, γ = 90.00°
Atoms (fractional coordinates):
O1 0.000 0.000 0.000
Sc1 0.500 0.500 0.500
Ho1 0.500 0.000 0.000
Ho2 0.000 0.500 0.000
Ho3 0.000 0.000 0.500


# 6
LiRuRh: optimized geometry, PBE-GGA.

Output
The energy above the most stable polymorph in this dataset comes out at 0.035 eV per atom. The formation energy is 0.0625 eV per atom. The density of states at the Fermi level is 1.230 states/eV/atom. The density is 8.68 g cm⁻³. As for the total magnetization: 0.00 Bohr magnetons per cell.

a = 4.738 Å, b = 4.224 Å, c = 8.065 Å
α = 90.00°, β = 90.00°, γ = 90.00°
Atoms (fractional coordinates):
Rh1 0.346 0.250 0.338
Li1 0.351 0.250 0.675
Rh2 0.654 0.750 0.662
Ru1 0.147 0.750 0.516
Rh3 0.154 0.750 0.838
Li2 0.851 0.250 0.825
Ru2 0.647 0.750 0.984
Rh4 0.846 0.250 0.162
Li3 0.649 0.750 0.325
Li4 0.149 0.750 0.175
Ru3 0.353 0.250 0.016
Ru4 0.853 0.250 0.484